Run i
Here is a relaxed ReNiSN2 crystal from Alexandria. Energies are from GGA-PBE.

Properties
Crystal system: tetragonal
ρ, g/cm3: 6.95
Volume, Å³ per cell: 73

a b c (Å): 3.767 3.767 5.138
angles (deg): 90.00 90.00 90.00
Sites, in units of the cell vectors:
Re1 0.000 0.000 0.000
Ni1 0.500 0.500 0.500
S1 0.000 0.000 0.500
N1 0.000 0.500 0.000
N2 0.500 0.000 0.000

***

Run ii
Here is a relaxed ReNiSN2 crystal from Alexandria. Energies are from GGA-PBE.

Properties
Crystal system: tetragonal
ρ, g/cm3: 8.43
Volume, Å³ per cell: 60

a b c (Å): 3.675 3.675 4.446
angles (deg): 90.00 90.00 90.00
Sites, in units of the cell vectors:
Re1 0.000 0.000 0.000
Ni1 0.500 0.500 0.500
S1 0.500 0.500 0.000
N1 0.000 0.500 0.500
N2 0.500 0.000 0.500

***

It is run ii that is the least stable of them.

***

Run i
Here is a relaxed ReNiSe2N crystal from Alexandria. Energies are from GGA-PBE.

Properties
Crystal system: tetragonal
ρ, g/cm3: 7.47
Volume, Å³ per cell: 93

a b c (Å): 5.002 5.002 3.705
angles (deg): 90.00 90.00 90.00
Sites, in units of the cell vectors:
Re1 0.000 0.000 0.000
Ni1 0.500 0.500 0.500
Se1 0.000 0.500 0.000
Se2 0.500 0.000 0.000
N1 0.000 0.000 0.500

***

Run ii
Here is a relaxed ReNiSe2N crystal from Alexandria. Energies are from GGA-PBE.

Properties
Crystal system: tetragonal
ρ, g/cm3: 8.81
Volume, Å³ per cell: 79

a b c (Å): 4.860 4.860 3.325
angles (deg): 90.00 90.00 90.00
Sites, in units of the cell vectors:
Re1 0.000 0.000 0.000
Ni1 0.500 0.500 0.500
Se1 0.000 0.500 0.500
Se2 0.500 0.000 0.500
N1 0.500 0.500 0.000

***

It is run ii that is the least stable of them.

***

Run i
Here is a relaxed ReNiSeN2 crystal from Alexandria. Energies are from GGA-PBE.

Properties
Crystal system: tetragonal
ρ, g/cm3: 9.06
Volume, Å³ per cell: 64

a b c (Å): 3.663 3.663 4.806
angles (deg): 90.00 90.00 90.00
Sites, in units of the cell vectors:
Re1 0.000 0.000 0.000
Ni1 0.500 0.500 0.500
Se1 0.500 0.500 0.000
N1 0.000 0.500 0.500
N2 0.500 0.000 0.500

***

Run ii
Here is a relaxed ReNiSeN2 crystal from Alexandria. Energies are from GGA-PBE.

Properties
Crystal system: tetragonal
ρ, g/cm3: 7.51
Volume, Å³ per cell: 78

a b c (Å): 3.777 3.777 5.453
angles (deg): 90.00 90.00 90.00
Sites, in units of the cell vectors:
Re1 0.000 0.000 0.000
Ni1 0.500 0.500 0.500
Se1 0.000 0.000 0.500
N1 0.000 0.500 0.000
N2 0.500 0.000 0.000

***

It is run i that is the least stable of them.

***

Run i
Here is a relaxed ReNiTeN2 crystal from Alexandria. Energies are from GGA-PBE.

Properties
Crystal system: tetragonal
ρ, g/cm3: 7.93
Volume, Å³ per cell: 84

a b c (Å): 3.798 3.798 5.814
angles (deg): 90.00 90.00 90.00
Sites, in units of the cell vectors:
Re1 0.000 0.000 0.000
Ni1 0.500 0.500 0.500
Te1 0.000 0.000 0.500
N1 0.000 0.500 0.000
N2 0.500 0.000 0.000

***

Run ii
Here is a relaxed ReNiTeN2 crystal from Alexandria. Energies are from GGA-PBE.

Properties
Crystal system: tetragonal
ρ, g/cm3: 9.11
Volume, Å³ per cell: 73

a b c (Å): 3.752 3.752 5.184
angles (deg): 90.00 90.00 90.00
Sites, in units of the cell vectors:
Re1 0.000 0.000 0.000
Ni1 0.500 0.500 0.500
Te1 0.500 0.500 0.000
N1 0.000 0.500 0.500
N2 0.500 0.000 0.500

***

It is run ii that is the least stable of them.

***

Run i
Here is a relaxed NiRhN2 crystal from Alexandria. Energies are from GGA-PBE.

Properties
Crystal system: trigonal
ρ, g/cm3: 7.05
Volume, Å³ per cell: 45

a b c (Å): 6.120 6.120 6.120
angles (deg): 28.02 28.02 28.02
Sites, in units of the cell vectors:
Ni1 0.000 0.000 0.000
Rh1 0.500 0.500 0.500
N1 0.101 0.101 0.101
N2 0.899 0.899 0.899

***

Run ii
Here is a relaxed NiRhN2 crystal from Alexandria. Energies are from GGA-PBE.

Properties
Crystal system: cubic
ρ, g/cm3: 8.58
Volume, Å³ per cell: 37

a b c (Å): 3.730 3.730 3.730
angles (deg): 60.00 60.00 60.00
Sites, in units of the cell vectors:
Ni1 0.000 0.000 0.000
Rh1 0.500 0.500 0.500
N1 0.250 0.250 0.250
N2 0.750 0.750 0.750

***

It is run ii that is the least stable of them.

***

Run i
Here is a relaxed NiRhN2 crystal from Alexandria. Energies are from GGA-PBE.

Properties
Crystal system: tetragonal
ρ, g/cm3: 7.04
Volume, Å³ per cell: 90

a b c (Å): 5.504 5.504 5.504
angles (deg): 132.27 132.27 69.80
Sites, in units of the cell vectors:
Ni1 0.000 0.000 0.000
Ni2 0.750 0.250 0.500
Rh1 0.250 0.750 0.500
Rh2 0.500 0.500 0.000
N1 0.109 0.625 0.984
N2 0.375 0.359 0.484
N3 0.641 0.125 0.016
N4 0.875 0.891 0.516

***

Run ii
Here is a relaxed NiRhN2 crystal from Alexandria. Energies are from GGA-PBE.

Properties
Crystal system: trigonal
ρ, g/cm3: 7.77
Volume, Å³ per cell: 41

a b c (Å): 6.232 6.232 6.232
angles (deg): 25.84 25.84 25.84
Sites, in units of the cell vectors:
Ni1 0.000 0.000 0.000
Rh1 0.500 0.500 0.500
N1 0.393 0.393 0.393
N2 0.607 0.607 0.607

***

It is run ii that is the least stable of them.

***

Run i
Here is a relaxed NiRhSeN2 crystal from Alexandria. Energies are from GGA-PBE.

Properties
Crystal system: tetragonal
ρ, g/cm3: 5.76
Volume, Å³ per cell: 77

a b c (Å): 3.714 3.714 5.610
angles (deg): 90.00 90.00 90.00
Sites, in units of the cell vectors:
Ni1 0.000 0.000 0.000
Rh1 0.500 0.500 0.500
Se1 0.500 0.500 0.000
N1 0.000 0.500 0.500
N2 0.500 0.000 0.500

***

Run ii
Here is a relaxed NiRhSeN2 crystal from Alexandria. Energies are from GGA-PBE.

Properties
Crystal system: tetragonal
ρ, g/cm3: 5.41
Volume, Å³ per cell: 82

a b c (Å): 3.497 3.497 6.744
angles (deg): 90.00 90.00 90.00
Sites, in units of the cell vectors:
Ni1 0.000 0.000 0.000
Rh1 0.500 0.500 0.500
Se1 0.000 0.000 0.500
N1 0.000 0.500 0.000
N2 0.500 0.000 0.000

***

It is run ii that is the least stable of them.

***

Run i
Here is a relaxed NiTeRhN2 crystal from Alexandria. Energies are from GGA-PBE.

Properties
Crystal system: tetragonal
ρ, g/cm3: 6.26
Volume, Å³ per cell: 84

a b c (Å): 3.743 3.743 6.010
angles (deg): 90.00 90.00 90.00
Sites, in units of the cell vectors:
Ni1 0.000 0.000 0.000
Te1 0.500 0.500 0.000
Rh1 0.500 0.500 0.500
N1 0.000 0.500 0.500
N2 0.500 0.000 0.500

***

Run ii
Here is a relaxed NiTeRhN2 crystal from Alexandria. Energies are from GGA-PBE.

Properties
Crystal system: tetragonal
ρ, g/cm3: 6.75
Volume, Å³ per cell: 78

a b c (Å): 3.638 3.638 5.893
angles (deg): 90.00 90.00 90.00
Sites, in units of the cell vectors:
Ni1 0.000 0.000 0.000
Te1 0.000 0.000 0.500
Rh1 0.500 0.500 0.500
N1 0.000 0.500 0.000
N2 0.500 0.000 0.000

***

It is run ii that is the least stable of them.